Record 1
Entry from the Alexandria database: FeRhO4 after structural relaxation (PBE with a Hubbard U).

Calculated values
Symmetry = P2_1/c
Final energy = -6.39 eV/atom
N(E_F) = 7.7 states/eV per cell

Unit cell a=5.5641 b=4.5772 c=5.4903 alpha=90.00 beta=111.89 gamma=90.00
Last column: nearest neighbours and their distance in Å.
Element x y z (fractional)
Fe: 0.0000 0.0000 0.0000  6 O 1.98-2.04
Fe: 0.0000 0.5000 0.5000  6 O 1.98-2.04
Rh: 0.5000 0.0000 0.5000  6 O 1.95-1.99
Rh: 0.5000 0.5000 0.0000  6 O 1.95-1.99
O: 0.1564 0.1958 0.3497  2 Fe 1.98-2.00, 1 Rh 1.99
O: 0.1564 0.3042 0.8497  2 Fe 1.98-2.00, 1 Rh 1.99
O: 0.3506 0.7047 0.6570  2 Rh 1.95-1.99, 1 Fe 2.04
O: 0.3506 0.7953 0.1570  2 Rh 1.95-1.99, 1 Fe 2.04
O: 0.6494 0.2047 0.8430  2 Rh 1.95-1.99, 1 Fe 2.04
O: 0.6494 0.2953 0.3430  2 Rh 1.95-1.99, 1 Fe 2.04
O: 0.8436 0.6958 0.1503  2 Fe 1.98-2.00, 1 Rh 1.99
O: 0.8436 0.8042 0.6503  2 Fe 1.98-2.00, 1 Rh 1.99

=====

Record 2
Entry from the Alexandria database: FeRh3O6 after structural relaxation (PBE with a Hubbard U).

Calculated values
Symmetry = R3
Final energy = -6.59 eV/atom

Unit cell a=5.5692 b=5.5692 c=5.5692 alpha=55.44 beta=55.44 gamma=55.44
Last column: nearest neighbours and their distance in Å.
Element x y z (fractional)
Fe: 0.0000 0.0000 0.0000  6 O 1.99-2.14
Rh: 0.1993 0.1993 0.1993  6 O 2.07-2.08
Rh: 0.5078 0.5078 0.5078  6 O 2.04-2.09
Rh: 0.7055 0.7055 0.7055  6 O 2.06-2.12
O: 0.1124 0.7967 0.4008  3 Rh 2.04-2.07, 1 Fe 2.14
O: 0.2979 0.6087 0.9072  1 Fe 1.99, 3 Rh 2.08-2.12
O: 0.4008 0.1124 0.7967  3 Rh 2.04-2.07, 1 Fe 2.14
O: 0.6087 0.9072 0.2979  1 Fe 1.99, 3 Rh 2.08-2.12
O: 0.7967 0.4008 0.1124  3 Rh 2.04-2.07, 1 Fe 2.14
O: 0.9072 0.2979 0.6087  1 Fe 1.99, 3 Rh 2.08-2.12

=====

Among the records above, which one has the lowest final energy? FeRh3O6

=====

The lowest final energy belongs to which entry? FeRh3O6

=====

What is the formula in the first record? FeRhO4